# 1
# Y3TlN

Y3TlN after structural relaxation (PBE-GGA, Alexandria via LeMat-Bulk).

abc: 8.838 8.838 8.314
angles: 92.38 92.38 24.61
Sites, in units of the cell vectors:
Y  0.012  0.012  0.232
Y  0.200  0.200  0.357
Y  0.333  0.333  0.030
Y  0.667  0.667  0.970
Y  0.800  0.800  0.643
Y  0.988  0.988  0.768
Tl  0.398  0.398  0.423
Tl  0.602  0.602  0.577
N  0.202  0.202  0.100
N  0.798  0.798  0.900

Results
The calculation puts the raw formation energy at -623 meV/atom. The space group is C2/m (12). Its electronic total energy is -6.6397 eV per atom. As for the density: 6.0 g/cm³. As for the crystal system: monoclinic.

# 2
# Y3TlN

Y3TlN after structural relaxation (PBE-GGA, Alexandria via LeMat-Bulk).

abc: 4.531 4.531 8.670
angles: 90.00 90.00 90.00
Sites, in units of the cell vectors:
Y  0.000  0.000  0.000
Y  0.000  0.500  0.659
Y  0.500  0.000  0.659
Tl  0.000  0.000  0.363
N  0.500  0.500  0.618

Results
The calculation puts the raw formation energy at 37 meV/atom. The space group is P4mm (99). Its electronic total energy is -5.9797 eV per atom. As for the density: 4.5 g/cm³. As for the crystal system: tetragonal.

# 3
# Y3TlN

Y3TlN after structural relaxation (PBE-GGA, Alexandria via LeMat-Bulk).

abc: 3.573 4.785 6.774
angles: 90.00 90.00 90.00
Sites, in units of the cell vectors:
Y  0.000  0.000  0.000
Y  0.500  0.500  0.243
Y  0.500  0.500  0.757
Tl  0.000  0.000  0.500
N  0.000  0.500  0.000

Results
The calculation puts the raw formation energy at -851 meV/atom. The space group is Pmmm (47). Its electronic total energy is -6.8682 eV per atom. As for the density: 7.0 g/cm³. As for the crystal system: orthorhombic.

# 4
# Y3TlN

Y3TlN after structural relaxation (PBE-GGA, Alexandria via LeMat-Bulk).

abc: 8.900 8.900 6.968
angles: 100.94 100.94 71.45
Sites, in units of the cell vectors:
Y  0.004  0.668  0.420
Y  0.053  0.673  0.908
Y  0.327  0.947  0.592
Y  0.332  0.996  0.080
Y  0.344  0.355  0.432
Y  0.355  0.344  0.932
Y  0.645  0.656  0.068
Y  0.656  0.645  0.568
Y  0.668  0.004  0.920
Y  0.673  0.053  0.408
Y  0.947  0.327  0.092
Y  0.996  0.332  0.580
Tl  0.006  0.994  0.250
Tl  0.337  0.663  0.250
Tl  0.663  0.337  0.750
Tl  0.994  0.006  0.750
N  0.164  0.484  0.666
N  0.484  0.164  0.166
N  0.516  0.836  0.834
N  0.836  0.516  0.334

Results
The calculation puts the raw formation energy at -708 meV/atom. The space group is C2/c (15). Its electronic total energy is -6.7252 eV per atom. As for the density: 6.3 g/cm³. As for the crystal system: monoclinic.

# 5
# Y3TlN

Y3TlN after structural relaxation (PBE-GGA, Alexandria via LeMat-Bulk).

abc: 12.453 12.453 12.453
angles: 155.65 155.65 34.70
Sites, in units of the cell vectors:
Y  0.192  0.192  0.000
Y  0.372  0.136  0.764
Y  0.372  0.609  0.236
Y  0.391  0.628  0.764
Y  0.808  0.808  0.000
Y  0.864  0.628  0.236
Tl  0.250  0.750  0.500
Tl  0.500  0.500  0.000
N  0.651  0.151  0.500
N  0.849  0.349  0.500

Results
The calculation puts the raw formation energy at 784 meV/atom. The space group is I-4m2 (119). Its electronic total energy is -5.2330 eV per atom. As for the density: 4.9 g/cm³. As for the crystal system: tetragonal.

# 6
# Y3TlN

Y3TlN after structural relaxation (PBE-GGA, Alexandria via LeMat-Bulk).

abc: 3.397 8.566 8.566
angles: 46.86 90.00 90.00
Sites, in units of the cell vectors:
Y  0.000  0.000  0.000
Y  0.500  0.071  0.604
Y  0.500  0.604  0.071
Tl  0.500  0.174  0.174
N  0.000  0.847  0.847

Results
The calculation puts the raw formation energy at -189 meV/atom. The space group is Amm2 (38). Its electronic total energy is -6.2057 eV per atom. As for the density: 4.4 g/cm³. As for the crystal system: orthorhombic.

# 7
# Y3TlN

Y3TlN after structural relaxation (PBE-GGA, Alexandria via LeMat-Bulk).

abc: 6.271 6.271 8.786
angles: 110.76 110.76 46.94
Sites, in units of the cell vectors:
Y  0.102  0.102  0.192
Y  0.142  0.142  0.663
Y  0.359  0.359  0.070
Y  0.641  0.641  0.930
Y  0.858  0.858  0.337
Y  0.898  0.898  0.808
Tl  0.397  0.397  0.574
Tl  0.603  0.603  0.426
N  0.126  0.126  0.928
N  0.874  0.874  0.072

Results
The calculation puts the raw formation energy at -790 meV/atom. The space group is C2/m (12). Its electronic total energy is -6.8069 eV per atom. As for the density: 6.9 g/cm³. As for the crystal system: monoclinic.

# 8
# Y3TlN

Y3TlN after structural relaxation (PBE-GGA, Alexandria via LeMat-Bulk).

abc: 5.138 5.138 5.138
angles: 91.20 91.20 91.20
Sites, in units of the cell vectors:
Y  0.009  0.496  0.496
Y  0.496  0.009  0.496
Y  0.496  0.496  0.009
Tl  0.983  0.983  0.983
N  0.277  0.277  0.277

Results
The calculation puts the raw formation energy at -418 meV/atom. The space group is R3m (160). Its electronic total energy is -6.4344 eV per atom. As for the density: 5.9 g/cm³. As for the crystal system: trigonal.

# 9
# YTl3N

YTl3N after structural relaxation (PBE-GGA, Alexandria via LeMat-Bulk).

abc: 4.996 4.996 4.996
angles: 90.00 90.00 90.00
Sites, in units of the cell vectors:
Y  0.000  0.000  0.000
Tl  0.000  0.500  0.500
Tl  0.500  0.000  0.500
Tl  0.500  0.500  0.000
N  0.500  0.500  0.500

Results
The calculation puts the raw formation energy at 601 meV/atom. The space group is Pm-3m (221). Its electronic total energy is -3.7762 eV per atom. As for the density: 9.5 g/cm³. As for the crystal system: cubic.

# 10
# YTlZnN2

YTlZnN2 after structural relaxation (PBE-GGA, Alexandria via LeMat-Bulk).

abc: 4.459 4.459 5.777
angles: 90.00 90.00 90.00
Sites, in units of the cell vectors:
Y  0.000  0.000  0.000
Tl  0.500  0.500  0.500
Zn  0.000  0.000  0.500
N  0.000  0.500  0.000
N  0.500  0.000  0.000

Results
The calculation puts the raw formation energy at 774 meV/atom. The space group is P4/mmm (123). Its electronic total energy is -4.5772 eV per atom. As for the density: 5.6 g/cm³. As for the crystal system: tetragonal.

# 11
# YZr2TlN

YZr2TlN after structural relaxation (PBE-GGA, Alexandria via LeMat-Bulk).

abc: 4.526 4.526 4.866
angles: 90.00 90.00 90.00
Sites, in units of the cell vectors:
Y  0.000  0.000  0.000
Zr  0.000  0.500  0.500
Zr  0.500  0.000  0.500
Tl  0.500  0.500  0.000
N  0.000  0.000  0.500

Results
The calculation puts the raw formation energy at -786 meV/atom. The space group is P4/mmm (123). Its electronic total energy is -7.6367 eV per atom. As for the density: 8.2 g/cm³. As for the crystal system: tetragonal.

# 12
# Y2ZrTlN

Y2ZrTlN after structural relaxation (PBE-GGA, Alexandria via LeMat-Bulk).

abc: 4.842 4.842 4.526
angles: 90.00 90.00 90.00
Sites, in units of the cell vectors:
Y  0.000  0.500  0.000
Y  0.500  0.000  0.000
Zr  0.000  0.000  0.500
Tl  0.500  0.500  0.500
N  0.000  0.000  0.000

Results
The calculation puts the raw formation energy at -859 meV/atom. The space group is P4/mmm (123). Its electronic total energy is -7.2928 eV per atom. As for the density: 7.6 g/cm³. As for the crystal system: tetragonal.

# 13
# TlZn3N

TlZn3N after structural relaxation (PBE-GGA, Alexandria via LeMat-Bulk).

abc: 5.361 5.361 5.361
angles: 90.00 90.00 90.00
Sites, in units of the cell vectors:
Tl  0.000  0.000  0.000
Zn  0.000  0.000  0.500
Zn  0.000  0.500  0.000
Zn  0.500  0.000  0.000
N  0.500  0.500  0.500

Results
The calculation puts the raw formation energy at 1442 meV/atom. The space group is Pm-3m (221). Its electronic total energy is -1.4608 eV per atom. As for the density: 4.5 g/cm³. As for the crystal system: cubic.

# 14
# TlZn2N

TlZn2N after structural relaxation (PBE-GGA, Alexandria via LeMat-Bulk).

abc: 4.568 4.568 4.568
angles: 60.00 60.00 60.00
Sites, in units of the cell vectors:
Tl  0.000  0.000  0.000
Zn  0.250  0.250  0.250
Zn  0.750  0.750  0.750
N  0.500  0.500  0.500

Results
The calculation puts the raw formation energy at 1095 meV/atom. The space group is Fm-3m (225). Its electronic total energy is -2.2153 eV per atom. As for the density: 8.6 g/cm³. As for the crystal system: cubic.

# 15
# TlZnN3

TlZnN3 after structural relaxation (PBE-GGA, Alexandria via LeMat-Bulk).

abc: 4.004 4.004 4.004
angles: 90.00 90.00 90.00
Sites, in units of the cell vectors:
Tl  0.000  0.000  0.000
Zn  0.500  0.500  0.500
N  0.000  0.500  0.500
N  0.500  0.000  0.500
N  0.500  0.500  0.000

Results
The calculation puts the raw formation energy at 1893 meV/atom. The space group is Pm-3m (221). Its electronic total energy is -3.8307 eV per atom. As for the density: 8.1 g/cm³. As for the crystal system: cubic.

# 16
# Tl3ZnN

Tl3ZnN after structural relaxation (PBE-GGA, Alexandria via LeMat-Bulk).

abc: 5.256 5.256 5.256
angles: 90.00 90.00 90.00
Sites, in units of the cell vectors:
Tl  0.000  0.000  0.500
Tl  0.000  0.500  0.000
Tl  0.500  0.000  0.000
Zn  0.000  0.000  0.000
N  0.500  0.500  0.500

Results
The calculation puts the raw formation energy at 1266 meV/atom. The space group is Pm-3m (221). Its electronic total energy is -2.0741 eV per atom. As for the density: 7.9 g/cm³. As for the crystal system: cubic.

# 17
# Tl3ZnN

Tl3ZnN after structural relaxation (PBE-GGA, Alexandria via LeMat-Bulk).

abc: 5.024 5.024 5.024
angles: 90.00 90.00 90.00
Sites, in units of the cell vectors:
Tl  0.000  0.000  0.500
Tl  0.000  0.500  0.000
Tl  0.500  0.000  0.000
Zn  0.500  0.500  0.500
N  0.000  0.000  0.000

Results
The calculation puts the raw formation energy at 719 meV/atom. The space group is Pm-3m (221). Its electronic total energy is -2.6207 eV per atom. As for the density: 9.1 g/cm³. As for the crystal system: cubic.

# 18
# TlZn3N

TlZn3N after structural relaxation (PBE-GGA, Alexandria via LeMat-Bulk).

abc: 4.339 4.339 4.339
angles: 90.00 90.00 90.00
Sites, in units of the cell vectors:
Tl  0.000  0.000  0.000
Zn  0.000  0.500  0.500
Zn  0.500  0.000  0.500
Zn  0.500  0.500  0.000
N  0.500  0.500  0.500

Results
The calculation puts the raw formation energy at 441 meV/atom. The space group is Pm-3m (221). Its electronic total energy is -2.4617 eV per atom. As for the density: 8.4 g/cm³. As for the crystal system: cubic.

# 19
# TlZn2N

TlZn2N after structural relaxation (PBE-GGA, Alexandria via LeMat-Bulk).

abc: 6.046 6.046 6.046
angles: 120.52 120.52 89.09
Sites, in units of the cell vectors:
Tl  0.000  0.000  0.000
Tl  0.750  0.250  0.500
Zn  0.277  0.625  0.152
Zn  0.375  0.527  0.652
Zn  0.473  0.125  0.848
Zn  0.875  0.723  0.348
N  0.250  0.750  0.500
N  0.500  0.500  0.000

Results
The calculation puts the raw formation energy at 195 meV/atom. The space group is I-42d (122). Its electronic total energy is -3.1147 eV per atom. As for the density: 7.5 g/cm³. As for the crystal system: tetragonal.

# 20
# TlZnN3

TlZnN3 after structural relaxation (PBE-GGA, Alexandria via LeMat-Bulk).

abc: 4.319 4.319 4.319
angles: 90.00 90.00 90.00
Sites, in units of the cell vectors:
Tl  0.000  0.000  0.000
Zn  0.500  0.500  0.500
N  0.000  0.000  0.500
N  0.000  0.500  0.000
N  0.500  0.000  0.000

Results
The calculation puts the raw formation energy at 2509 meV/atom. The space group is Pm-3m (221). Its electronic total energy is -3.2146 eV per atom. As for the density: 6.4 g/cm³. As for the crystal system: cubic.